First-principles (SCAN) data for Y2ZrTeRu at its PBEsol-relaxed geometry, as listed in Alexandria.

The volume comes out at 27.89 Å³/atom. The value obtained for the raw total energy is -31.200 eV/atom. The space-group type is P4/mmm, No. 123. Its raw formation energy is 492 meV per atom. The density of states at the Fermi level is 4.01 states/eV per cell. The value obtained for the spin magnetization is 0.11 μB per atom.

Cell: 4.5341 5.5455 5.5455 Å, 90.00 90.00 90.00°
Element x y z (fractional)
Y (0.0000, 0.0000, 0.5000)
Y (0.0000, 0.5000, 0.0000)
Ru (0.5000, 0.0000, 0.0000)
Te (0.5000, 0.5000, 0.5000)
Zr (0.0000, 0.0000, 0.0000)